[1]
# PBE CaTeW2, optimized geometry
data_CaTeW2
_space_group_name_H-M_alt 'P 1'
_space_group_IT_number 1
_cell_length_a 3.0107
_cell_length_b 3.0107
_cell_length_c 9.5355
_cell_angle_alpha 90.00
_cell_angle_beta 90.00
_cell_angle_gamma 107.41
loop_
_space_group_symop_operation_xyz
'x,y,z'
loop_
_atom_site_label
_atom_site_type_symbol
_atom_site_fract_x
_atom_site_fract_y
_atom_site_fract_z
Ca1 Ca 0.0000 0.0000 0.0000
Te1 Te 0.0000 0.0000 0.5000
W1 W 0.5000 0.5000 0.2711
W2 W 0.5000 0.5000 0.7289
# total magnetic moment = 0.00 μB/f.u.
# formation energy without anion corrections = 1.12 eV/atom
# final energy = -6.64 eV per atom
# SG = Cmmm, No. 65

---

[2]
# PBE CaTeW2, optimized geometry
data_CaTeW2
_space_group_name_H-M_alt 'P 1'
_space_group_IT_number 1
_cell_length_a 5.8554
_cell_length_b 5.8554
_cell_length_c 5.8554
_cell_angle_alpha 140.26
_cell_angle_beta 140.26
_cell_angle_gamma 57.46
loop_
_space_group_symop_operation_xyz
'x,y,z'
loop_
_atom_site_label
_atom_site_type_symbol
_atom_site_fract_x
_atom_site_fract_y
_atom_site_fract_z
Ca1 Ca 0.0000 0.0000 0.0000
Te1 Te 0.5000 0.5000 0.0000
W1 W 0.2500 0.7500 0.5000
W2 W 0.7500 0.2500 0.5000
# total magnetic moment = 0.00 μB/f.u.
# formation energy without anion corrections = 0.74 eV/atom
# final energy = -7.02 eV per atom
# SG = I4/mmm, No. 139

---

[3]
# PBE CaTeW2, optimized geometry
data_CaTeW2
_space_group_name_H-M_alt 'P 1'
_space_group_IT_number 1
_cell_length_a 2.9127
_cell_length_b 5.1209
_cell_length_c 5.6484
_cell_angle_alpha 90.00
_cell_angle_beta 90.00
_cell_angle_gamma 90.00
loop_
_space_group_symop_operation_xyz
'x,y,z'
loop_
_atom_site_label
_atom_site_type_symbol
_atom_site_fract_x
_atom_site_fract_y
_atom_site_fract_z
Ca1 Ca 0.0000 0.0000 0.0000
Te1 Te 0.0000 0.0000 0.5000
W1 W 0.5000 0.5000 0.2254
W2 W 0.5000 0.5000 0.7746
# total magnetic moment = 0.00 μB/f.u.
# formation energy without anion corrections = 0.99 eV/atom
# final energy = -6.77 eV per atom
# SG = Pmmm, No. 47

---

[4]
# PBE CaTe2W, optimized geometry
data_CaTe2W
_space_group_name_H-M_alt 'P 1'
_space_group_IT_number 1
_cell_length_a 3.4711
_cell_length_b 3.4711
_cell_length_c 7.6071
_cell_angle_alpha 90.00
_cell_angle_beta 90.00
_cell_angle_gamma 91.47
loop_
_space_group_symop_operation_xyz
'x,y,z'
loop_
_atom_site_label
_atom_site_type_symbol
_atom_site_fract_x
_atom_site_fract_y
_atom_site_fract_z
Ca1 Ca 0.0000 0.0000 0.0000
Te1 Te 0.5000 0.5000 0.2850
Te2 Te 0.5000 0.5000 0.7150
W1 W 0.0000 0.0000 0.5000
# total magnetic moment = 0.00 μB/f.u.
# formation energy without anion corrections = 0.03 eV/atom
# final energy = -5.28 eV per atom
# SG = Cmmm, No. 65